The following is a DFT calculation (PBE with a Hubbard U) of a relaxed HfNiHgO2 crystal.

Cell and atoms, written as CIF:
```
data_HfNiHgO2
_cell_length_a 3.962
_cell_length_b 4.772
_cell_length_c 3.962
_cell_angle_alpha 90.00
_cell_angle_beta 90.00
_cell_angle_gamma 90.00
_symmetry_space_group_name_H-M 'P 1'
_symmetry_Int_Tables_number 1
_symmetry_space_group_name_Hall 'P 1'
loop_
_atom_site_label
_atom_site_fract_x
_atom_site_fract_y
_atom_site_fract_z
Hf1 0.000 0.500 0.000
Ni1 0.000 0.000 0.000
O1 0.500 0.000 0.000
Hg1 0.500 0.500 0.500
O2 0.000 0.000 0.500
```

Total DFT energy (no corrections) ... -4.41 eV per atom
Crystal system ... tetragonal
D(E_F) ... 0.35 states/eV/atom
Space group ... P4/mmm